The following is a PBE calculation of crystalline TlTcBr4 at its relaxed geometry, from Alexandria via LeMat-Bulk.

abc: 6.458 6.458 6.458
angles: 60.00 60.00 60.00
Site moments in Bohr magnetons follow the coordinates.
Atoms (fractional coordinates):
Br (0.376, 0.376, 0.376)  0.37
Br (0.873, 0.376, 0.376)  0.37
Br (0.376, 0.376, 0.873)  0.37
Br (0.376, 0.873, 0.376)  0.37
Tc (0.750, 0.750, 0.750)  4.05
Tl (0.000, 0.000, 0.000)  0.02

## Properties
Crystal system = cubic
Formation energy (no corrections) = 0.837 eV per atom